# 1
DFT (PBE) results for a relaxed structure of Sm4Al2Hg.

```
data_Sm4Al2Hg
_chemical_formula_sum 'Sm12 Al6 Hg3'
_space_group_name_H-M_alt 'R -3 m'
_space_group_IT_number 166
_space_group_name_Hall '-R 3 2"'
_cell_length_a 5.2388
_cell_length_b 5.2388
_cell_length_c 25.2237
_cell_angle_alpha 90.00
_cell_angle_beta 90.00
_cell_angle_gamma 120.00
loop_
_atom_site_label
_atom_site_type_symbol
_atom_site_fract_x
_atom_site_fract_y
_atom_site_fract_z
_atom_site_occupancy
Sm1 Sm 0.0000 0.0000 0.1181 1
Sm2 Sm 0.0000 0.0000 0.3704 1
Al1 Al 0.0000 0.0000 0.2479 1
Hg1 Hg 0.0000 0.0000 0.5000 1
```



# 2
DFT (PBE) results for a relaxed structure of Pr6InHg3.

```
data_Pr6InHg3
_chemical_formula_sum 'Pr12 In2 Hg6'
_space_group_name_H-M_alt 'P 1 21/m 1'
_space_group_IT_number 11
_cell_length_a 9.7286
_cell_length_b 5.4120
_cell_length_c 11.9858
_cell_angle_alpha 90.00
_cell_angle_beta 105.87
_cell_angle_gamma 90.00
loop_
_space_group_symop_operation_xyz
'x,y,z'
'-x,-y,-z'
'-x,y+1/2,-z'
'x,-y+1/2,z'
loop_
_atom_site_label
_atom_site_type_symbol
_atom_site_fract_x
_atom_site_fract_y
_atom_site_fract_z
_atom_site_occupancy
Pr1 Pr 0.0265 0.2500 0.4056 1
Pr2 Pr 0.1525 0.7500 0.1807 1
Pr3 Pr 0.2421 0.2500 0.9967 1
Pr4 Pr 0.3434 0.7500 0.8189 1
Pr5 Pr 0.3759 0.2500 0.3430 1
Pr6 Pr 0.3920 0.2500 0.6175 1
In1 In 0.4511 0.7500 0.1078 1
Hg1 Hg 0.0271 0.7500 0.8774 1
Hg2 Hg 0.1203 0.2500 0.7153 1
Hg3 Hg 0.2724 0.7500 0.4708 1
```



| no. | VASP energy (eV for the cell shown) | calculated formation energy (meV per atom) |
| --- | --- | --- |
| 1 | -85.292 | -252.4 |
| 2 | -71.718 | -353.8 |